# 1
I: relaxed, PBE.

Lattice parameters (Å, degrees): 6.1005 5.6020 7.1005 90.12 94.56 90.19
With the nearest neighbours (Å) after each atom.
Element x y z (fractional)
I1 0.6856 0.7166 0.5409  1 I 2.74
I2 0.9775 0.7164 0.2664  1 I 2.74
I3 0.2061 0.2159 0.8174  2 I 2.93
I4 0.3251 0.7165 0.8897  2 I 2.93

Summary:
Energy relative to the elements, uncorrected = 7.45 kJ per mole of atoms
E = -1.4729 eV/atom

# 2
Si2SbRh: relaxed, PBE.

Lattice parameters (Å, degrees): 4.1873 4.3347 4.1839 81.57 90.00 90.00
With the nearest neighbours (Å) after each atom.
Element x y z (fractional)
Si1 0.0000 0.4898 0.3803  2 Si 2.36-2.49, 2 Rh 2.43
Si2 0.0000 0.0102 0.1197  2 Si 2.36-2.49, 2 Rh 2.43
Sb1 0.5000 0.7500 0.7500  2 Rh 2.78, 4 Si 2.93
Rh1 0.5000 0.2500 0.2500  4 Si 2.43

Summary:
Energy relative to the elements, uncorrected = 0.11 kJ per mole of atoms
E = -5.5788 eV/atom

# 3
SmTm3S: relaxed, PBE.

Lattice parameters (Å, degrees): 5.2487 5.2487 5.2487 90.00 90.00 90.00
With the nearest neighbours (Å) after each atom.
Element x y z (fractional)
S1 0.0000 0.0000 0.0000  6 Tm 2.62
Tm1 0.0000 0.0000 0.5000  2 S 2.62
Tm2 0.5000 0.0000 0.0000  2 S 2.62
Tm3 0.0000 0.5000 0.0000  2 S 2.62
Sm1 0.5000 0.5000 0.5000  12 Tm 3.71

Summary:
Energy relative to the elements, uncorrected = -59.54 kJ per mole of atoms
E = -5.0693 eV/atom

# 4
CaMn2Be: relaxed, PBE.

Lattice parameters (Å, degrees): 4.5432 4.5432 4.5432 123.61 116.47 90.04
With the nearest neighbours (Å) after each atom.
Element x y z (fractional)
Ca1 0.7497 0.2497 0.5000  4 Mn 2.75-2.84, 4 Be 2.75-2.83
Mn1 0.2497 0.7497 0.5000  2 Mn 2.54, 2 Be 2.54
Mn2 0.0392 0.0392 0.0000  2 Mn 2.54, 1 Be 2.71, 4 Ca 2.75-2.84
Be1 0.4614 0.4614 0.0000  3 Mn 2.54-2.71, 4 Ca 2.75-2.83

Summary:
ΔE_f = 0.49 eV per atom
E = -5.5241 eV/atom

# 5
HoThMg2: relaxed, PBE.

Lattice parameters (Å, degrees): 5.3805 5.3805 5.3805 60.00 60.00 60.00
With the nearest neighbours (Å) after each atom.
Element x y z (fractional)
Mg1 0.7500 0.7500 0.7500  4 Ho 3.29, 4 Th 3.29
Mg2 0.2500 0.2500 0.2500  4 Th 3.29, 4 Ho 3.29
Th1 0.0000 0.0000 0.0000  8 Mg 3.29
Ho1 0.5000 0.5000 0.5000  8 Mg 3.29

Summary:
ΔE_f = 0.00 eV per atom
E = -3.7922 eV/atom

# 6
Nd2HgRu: relaxed, PBE.

Lattice parameters (Å, degrees): 5.1943 5.1943 5.1943 60.00 60.00 60.00
With the nearest neighbours (Å) after each atom.
Element x y z (fractional)
Nd1 0.7500 0.7500 0.7500  4 Hg 3.18, 4 Ru 3.18
Nd2 0.2500 0.2500 0.2500  4 Hg 3.18, 4 Ru 3.18
Hg1 0.0000 0.0000 0.0000  8 Nd 3.18
Ru1 0.5000 0.5000 0.5000  8 Nd 3.18

Summary:
ΔE_f = -0.24 eV per atom
E = -5.0188 eV/atom

# 7
PmP2Pb: relaxed, PBE.

Lattice parameters (Å, degrees): 4.1402 4.1402 7.3224 73.58 73.58 60.00
With the nearest neighbours (Å) after each atom.
Element x y z (fractional)
P1 0.2452 0.2452 0.2643  3 Pm 2.89, 3 Pb 3.01
P2 0.7548 0.7548 0.7357  3 Pm 2.89, 3 Pb 3.01
Pm1 0.5000 0.5000 0.5000  6 P 2.89
Pb1 0.0000 0.0000 0.0000  6 P 3.01

Summary:
ΔE_f = -0.55 eV per atom
E = -5.3720 eV/atom

# 8
DyMnW2C4: relaxed, PBE.

Lattice parameters (Å, degrees): 3.1939 5.6355 10.6250 90.00 90.00 106.46
With the nearest neighbours (Å) after each atom.
Element x y z (fractional)
C1 0.7348 0.4697 0.8846  1 Mn 1.83, 1 W 2.02
C2 0.0000 0.0000 0.0000  4 W 2.15
C3 0.2652 0.5303 0.3846  1 Mn 1.83, 1 W 2.02
C4 0.5696 0.1392 0.2500  2 Mn 1.87
C5 0.0000 0.0000 0.5000  4 W 2.15
C6 0.4304 0.8608 0.7500  2 Mn 1.87
C7 0.7348 0.4697 0.6154  1 Mn 1.83, 1 W 2.02
C8 0.2652 0.5303 0.1154  1 Mn 1.83, 1 W 2.02
Mn1 0.1589 0.3178 0.2500  4 C 1.83-1.87
Mn2 0.8411 0.6822 0.7500  4 C 1.83-1.87
W1 0.3728 0.7457 0.5404  3 C 2.02-2.15
W2 0.6272 0.2543 0.0404  3 C 2.02-2.15
W3 0.3728 0.7457 0.9596  3 C 2.02-2.15
W4 0.6272 0.2543 0.4596  3 C 2.02-2.15
Dy1 0.8934 0.7867 0.2500  6 C 2.49-2.55
Dy2 0.1066 0.2133 0.7500  6 C 2.49-2.55

Summary:
ΔE_f = -0.06 eV per atom
E = -9.6269 eV/atom

# 9
BaTi10O20: relaxed, PBE.

Lattice parameters (Å, degrees): 8.4988 10.3841 10.3885 88.44 67.95 67.85
With the nearest neighbours (Å) after each atom.
Element x y z (fractional)
Ti1 0.8086 0.9994 0.5150  6 O 1.93-2.08
Ti2 0.1782 0.8112 0.2848  6 O 1.93-2.05
Ti3 0.4918 0.6444 0.4581  6 O 1.95-2.04
Ti4 0.4917 0.2461 0.0608  6 O 1.95-2.04
Ti5 0.8189 0.3931 0.9166  6 O 1.93-2.06
Ti6 0.8137 0.6011 0.1105  6 O 1.96-2.04
Ti7 0.1863 0.3989 0.8895  6 O 1.96-2.04
Ti8 0.1914 0.0006 0.4850  6 O 1.93-2.08
Ti9 0.5271 0.9516 0.1316  6 O 1.93-2.06
Ti10 0.5083 0.7539 0.9392  6 O 1.95-2.04
Ti11 0.4720 0.8473 0.6681  6 O 1.93-2.06
Ti12 0.4729 0.0484 0.8684  6 O 1.93-2.06
Ti13 0.8234 0.7875 0.3184  6 O 1.93-2.02
Ti14 0.1811 0.6069 0.0834  6 O 1.93-2.06
Ti15 0.5280 0.1527 0.3319  6 O 1.93-2.06
Ti16 0.5329 0.5494 0.7307  6 O 1.90-2.08
Ti17 0.1766 0.2125 0.6816  6 O 1.93-2.02
Ti18 0.5082 0.3556 0.5419  6 O 1.95-2.04
Ti19 0.8218 0.1888 0.7152  6 O 1.93-2.05
Ti20 0.4671 0.4506 0.2693  6 O 1.90-2.08
O1 0.3771 0.8403 0.1358  3 Ti 1.93-2.01
O2 0.3778 0.6365 0.9330  3 Ti 1.93-2.02
O3 0.0458 0.6075 0.9631  3 Ti 1.99-2.04
O4 0.6229 0.1597 0.8642  3 Ti 1.93-2.01
O5 0.0474 0.2054 0.5601  3 Ti 1.98-2.05
O6 0.6222 0.3635 0.0670  3 Ti 1.93-2.02
O7 0.6406 0.2850 0.3330  3 Ti 1.95-2.08
O8 0.0475 0.4110 0.7655  3 Ti 1.97-2.06
O9 0.9526 0.7946 0.4399  3 Ti 1.98-2.05
O10 0.3594 0.7150 0.6670  3 Ti 1.95-2.08
O11 0.7044 0.9972 0.3766  3 Ti 1.93-2.02
O12 0.3720 0.4448 0.7362  3 Ti 1.95-2.03
O13 0.3740 0.0416 0.3327  3 Ti 1.93-2.04
O14 0.6280 0.5552 0.2638  3 Ti 1.95-2.03
O15 0.6246 0.7598 0.4682  3 Ti 1.93-2.00
O16 0.2949 0.6018 0.2227  3 Ti 1.90-2.02
O17 0.6468 0.4806 0.5266  3 Ti 1.99-2.03
O18 0.2956 0.0028 0.6234  3 Ti 1.93-2.02
O19 0.0474 0.8027 0.1690  3 Ti 1.94-2.01
O20 0.3558 0.3158 0.2682  3 Ti 1.96-2.06
O21 0.3754 0.2402 0.5318  3 Ti 1.93-2.00
O22 0.6260 0.9584 0.6673  3 Ti 1.93-2.04
O23 0.3572 0.1179 0.0691  3 Ti 1.96-2.06
O24 0.2966 0.1987 0.8186  3 Ti 1.93-2.01
O25 0.9534 0.9903 0.6347  3 Ti 1.96-2.08
O26 0.3532 0.5194 0.4734  3 Ti 1.99-2.03
O27 0.3601 0.9153 0.8679  3 Ti 1.95-2.00
O28 0.9542 0.3925 0.0369  3 Ti 1.99-2.04
O29 0.2894 0.3982 0.0297  3 Ti 1.96-2.01
O30 0.7051 0.3982 0.7773  3 Ti 1.90-2.02
O31 0.0466 0.0097 0.3653  3 Ti 1.96-2.08
O32 0.9525 0.5890 0.2345  3 Ti 1.97-2.06
O33 0.6428 0.8821 0.9309  3 Ti 1.96-2.06
O34 0.2927 0.7975 0.4256  3 Ti 1.97-2.02
O35 0.7034 0.8013 0.1814  3 Ti 1.93-2.01
O36 0.9526 0.1973 0.8310  3 Ti 1.94-2.01
O37 0.7106 0.6018 0.9703  3 Ti 1.96-2.01
O38 0.6442 0.6842 0.7318  3 Ti 1.96-2.06
O39 0.6399 0.0847 0.1321  3 Ti 1.95-2.00
O40 0.7073 0.2025 0.5744  3 Ti 1.97-2.02
Ba1 0.0005 0.2942 0.2940  8 O 2.94-3.02
Ba2 0.9995 0.7058 0.7060  8 O 2.94-3.02

Summary:
Energy relative to the elements, uncorrected = -292.06 kJ per mole of atoms
E = -8.8346 eV/atom

# 10
ScFeTe2: relaxed, PBE.

Lattice parameters (Å, degrees): 3.7665 3.7665 7.0641 90.00 90.00 90.00
With the nearest neighbours (Å) after each atom.
Element x y z (fractional)
Fe1 0.0000 0.0000 0.5024  5 Te 2.78-2.86
Sc1 0.5000 0.5000 0.7469  5 Te 2.77-2.86
Te1 0.0000 0.0000 0.8962  1 Fe 2.78, 4 Sc 2.86
Te2 0.5000 0.5000 0.3545  1 Sc 2.77, 4 Fe 2.86

Summary:
Energy relative to the elements, uncorrected = -48.91 kJ per mole of atoms
E = -5.7763 eV/atom